## w
Density functional theory data (PBE) for YScH2 after structural relaxation.

Structure (POSCAR):
```
YScH2
1.0
-2.4767 2.4767 4.9897
2.4767 -2.4767 4.9897
2.4767 2.4767 -4.9897
Y Sc H
2 2 4
direct
0.0000 0.0000 0.0000
0.7500 0.2500 0.5000
0.2500 0.7500 0.5000
0.5000 0.5000 0.0000
0.1491 0.6250 0.0241
0.3750 0.3991 0.5241
0.6009 0.1250 0.9759
0.8750 0.8509 0.4759
```

Total moment   0.00 μB/atom
Calculated density   3.69 g cm⁻³



## x
Density functional theory data (PBE) for YScH2 after structural relaxation.

Structure (POSCAR):
```
YScH2
1.0
1.6771 0.9683 5.6265
-1.6771 0.9683 5.6265
0.0000 -1.9365 5.6265
Y Sc H
1 1 2
direct
0.0000 0.0000 0.0000
0.1802 0.1802 0.1802
0.5786 0.5786 0.5786
0.7778 0.7778 0.7778
```

Total moment   0.00 μB/atom
Calculated density   4.12 g cm⁻³



## y
Density functional theory data (PBE) for YScH2 after structural relaxation.

Structure (POSCAR):
```
YScH2
1.0
1.7175 0.9916 5.7446
-1.7175 0.9916 5.7446
0.0000 -1.9832 5.7446
Y Sc H
1 1 2
direct
0.0000 0.0000 0.0000
0.5000 0.5000 0.5000
0.1287 0.1287 0.1287
0.8713 0.8713 0.8713
```

Total moment   0.00 μB/atom
Calculated density   3.84 g cm⁻³



Which of them is most stable, and which least? Most stable: y; least stable: x.



## w
Density functional theory data (PBE) for Sc2ZnH after structural relaxation.

Structure (POSCAR):
```
Sc2ZnH
1.0
-3.1240 3.1240 3.3779
3.1240 -3.1240 3.3779
3.1240 3.1240 -3.3779
Sc Zn H
4 2 2
direct
0.0274 0.6250 0.9024
0.3750 0.2774 0.4024
0.7226 0.1250 0.0976
0.8750 0.9726 0.5976
0.2500 0.7500 0.5000
0.5000 0.5000 0.0000
0.0000 0.0000 0.0000
0.7500 0.2500 0.5000
```

Total moment   0.00 μB/atom
Calculated density   3.94 g cm⁻³



## x
Density functional theory data (PBE) for Sc2ZnH after structural relaxation.

Structure (POSCAR):
```
Sc2ZnH
1.0
0.0000 3.2221 3.2221
3.2221 0.0000 3.2221
3.2221 3.2221 0.0000
Sc Zn H
2 1 1
direct
0.2500 0.2500 0.2500
0.7500 0.7500 0.7500
0.0000 0.0000 0.0000
0.5000 0.5000 0.5000
```

Total moment   0.00 μB/atom
Calculated density   3.88 g cm⁻³



## y
Density functional theory data (PBE) for Sc2ZnH after structural relaxation.

Structure (POSCAR):
```
Sc2ZnH
1.0
1.5980 0.9226 8.1361
-1.5980 0.9226 8.1361
0.0000 -1.8453 8.1361
Sc Zn H
2 1 1
direct
0.1168 0.1168 0.1168
0.8832 0.8832 0.8832
0.0000 0.0000 0.0000
0.5000 0.5000 0.5000
```

Total moment   0.00 μB/atom
Calculated density   3.61 g cm⁻³



Which of them is most stable, and which least? Most stable: w; least stable: x.



## w
Density functional theory data (PBE) for Zr2ScZnH after structural relaxation.

Structure (POSCAR):
```
Zr2ScZnH
1.0
4.3682 0.0000 0.0000
0.0000 4.3682 0.0000
0.0000 0.0000 4.4340
Zr Sc Zn H
2 1 1 1
direct
0.0000 0.5000 0.0000
0.5000 0.0000 0.0000
0.0000 0.0000 0.5000
0.5000 0.5000 0.5000
0.5000 0.5000 0.0000
```

Total moment   0.00 μB/atom
Calculated density   5.77 g cm⁻³



## x
Density functional theory data (PBE) for Zr2ScZnH after structural relaxation.

Structure (POSCAR):
```
Zr2ScZnH
1.0
4.3869 0.0000 0.0000
0.0000 4.3869 0.0000
0.0000 0.0000 4.4008
Zr Sc Zn H
2 1 1 1
direct
0.0000 0.5000 0.0000
0.5000 0.0000 0.0000
0.0000 0.0000 0.5000
0.5000 0.5000 0.5000
0.0000 0.0000 0.0000
```

Total moment   0.00 μB/atom
Calculated density   5.76 g cm⁻³



## y
Density functional theory data (PBE) for Zr2ScZnH after structural relaxation.

Structure (POSCAR):
```
Zr2ScZnH
1.0
5.5208 0.0000 0.0000
0.0000 5.5208 0.0000
0.0000 0.0000 3.2066
Zr Sc Zn H
2 1 1 1
direct
0.0000 0.5000 0.0000
0.5000 0.0000 0.0000
0.0000 0.0000 0.5000
0.5000 0.5000 0.0000
0.5000 0.5000 0.5000
```

Total moment   0.00 μB/atom
Calculated density   4.99 g cm⁻³



Which of them is most stable, and which least? Most stable: x; least stable: y.